The following is a DFT calculation (GGA-PBE) of an optimized crystal structure of RbHgPb3.

```
data_RbHgPb3
_cell_length_a 5.928
_cell_length_b 5.928
_cell_length_c 5.928
_cell_angle_alpha 90.00
_cell_angle_beta 90.00
_cell_angle_gamma 90.00
_space_group_name_H-M_alt 'P 1'
_space_group_IT_number 1
loop_
_space_group_symop_operation_xyz
'x,y,z'
loop_
_atom_site_label
_atom_site_type_symbol
_atom_site_fract_x
_atom_site_fract_y
_atom_site_fract_z
Rb1 Rb 0.500 0.500 0.500
Hg1 Hg 0.000 0.000 0.000
Pb1 Pb 0.000 0.500 0.000
Pb2 Pb 0.000 0.000 0.500
Pb3 Pb 0.500 0.000 0.000
```

Excess energy over the best structure of this formula in the dataset = 294 meV/atom
Crystal system = cubic
Energy of formation from the pure elements = 0.1799 eV/atom